This record from the Alexandria database describes a relaxed Li2OsIF crystal. The functional is PBE.

Cell lengths 5.399, 5.399, 4.917 Å; angles 90.00, 90.00, 90.00 degrees
Atoms (fractional coordinates):
Li: 0.000 0.500 0.000
Li: 0.500 0.000 0.000
Os: 0.000 0.000 0.500
I: 0.000 0.000 0.000
F: 0.500 0.500 0.500

Formation energy without anion corrections in meV per atom: 456
Space group: P4/mmm (123)

This record from the Alexandria database describes a relaxed CaTb2Ta2Rh5 crystal. The functional is PBE.

Cell lengths 10.300, 10.300, 3.783 Å; angles 90.00, 90.00, 90.00 degrees
Atoms (fractional coordinates):
Ca: 0.000 0.000 0.000
Ca: 0.500 0.500 0.000
Tb: 0.177 0.323 0.000
Tb: 0.323 0.823 0.000
Tb: 0.677 0.177 0.000
Tb: 0.823 0.677 0.000
Ta: 0.120 0.620 0.000
Ta: 0.380 0.120 0.000
Ta: 0.620 0.880 0.000
Ta: 0.880 0.380 0.000
Rh: 0.000 0.500 0.500
Rh: 0.068 0.780 0.500
Rh: 0.220 0.068 0.500
Rh: 0.280 0.568 0.500
Rh: 0.432 0.280 0.500
Rh: 0.500 0.000 0.500
Rh: 0.568 0.720 0.500
Rh: 0.720 0.432 0.500
Rh: 0.780 0.932 0.500
Rh: 0.932 0.220 0.500

E_form in eV/atom: -0.44
Space group: P4/mbm (127)

This record from the Alexandria database describes a relaxed ZrTi4 crystal. The functional is PBE.

Cell lengths 5.146, 5.146, 6.660 Å; angles 130.23, 130.23, 47.58 degrees
Atoms (fractional coordinates):
Zr: 0.000 0.000 0.000
Ti: 0.192 0.192 0.598
Ti: 0.407 0.407 0.216
Ti: 0.593 0.593 0.784
Ti: 0.808 0.808 0.402

E_form in eV/atom: 0.07
Space group: C2/m (12)
Energy above the lowest structure with this stoichiometry in eV per atom: 0.0000

This record from the Alexandria database describes a relaxed CaTa2As crystal. The functional is PBE.

Cell lengths 5.591, 5.591, 2.930 Å; angles 90.00, 90.00, 118.36 degrees
Atoms (fractional coordinates):
Ca: 0.000 0.000 0.000
Ta: 0.000 0.500 0.500
Ta: 0.500 0.000 0.500
As: 0.500 0.500 0.000

E_form in eV/atom: 0.56
Space group: Cmmm (65)

D(E_F) list, top to bottom, in states/eV/cell: 3.36, 14.54, 7.58, 5.58
Spin magnetization list, top to bottom, in Bohr magnetons per cell: 2.0, 0.0, 0.0, 0.0